# 1
A plane-wave DFT calculation with PBE-GGA was carried out for a relaxed HgSbCl2 crystal.

a = 5.1306 Å, b = 5.1306 Å, c = 5.1306 Å
α = 60.00°, β = 60.00°, γ = 60.00°
Closest atoms and distances in Å follow each position.
Atoms (fractional coordinates):
Cl  0.0000  0.0000  0.0000  4 Sb 3.14, 4 Cl 3.14
Cl  0.2500  0.2500  0.2500  4 Hg 3.14, 4 Cl 3.14
Hg  0.5000  0.5000  0.5000  4 Cl 3.14, 4 Sb 3.14
Sb  0.7500  0.7500  0.7500  4 Hg 3.14, 4 Cl 3.14

Results
* ΔE_f (raw): 0.02 eV per atom
* magnetization: 0.8 μB/f.u.
* SG: F-43m, No. 216
* calculated volume: 23.9 A^3/atom
* total DFT energy (no corrections): -2.007 eV per atom

# 2
A plane-wave DFT calculation with PBE-GGA was carried out for a relaxed HgSb2Cl crystal.

a = 3.3498 Å, b = 5.8556 Å, c = 5.2637 Å
α = 90.00°, β = 90.00°, γ = 90.00°
Closest atoms and distances in Å follow each position.
Atoms (fractional coordinates):
Cl  0.5000  0.0000  0.5000  4 Sb 3.12, 2 Cl 3.35, 4 Hg 3.37
Sb  0.0000  0.0000  0.0000  4 Cl 3.12, 6 Sb 3.35-3.37
Sb  0.5000  0.5000  0.0000  4 Hg 3.12, 6 Sb 3.35-3.37
Hg  0.0000  0.5000  0.5000  4 Sb 3.12, 2 Hg 3.35, 4 Cl 3.37

Results
* ΔE_f (raw): 0.01 eV per atom
* magnetization: 0.0 μB/f.u.
* SG: Pmmm, No. 47
* calculated volume: 25.8 A^3/atom
* total DFT energy (no corrections): -2.585 eV per atom

# 3
A plane-wave DFT calculation with PBE-GGA was carried out for a relaxed HgSbCl2 crystal.

a = 6.9147 Å, b = 6.9147 Å, c = 6.9147 Å
α = 148.67°, β = 131.24°, γ = 59.11°
Closest atoms and distances in Å follow each position.
Atoms (fractional coordinates):
Cl  0.5859  0.5859  0.0000  2 Sb 2.72
Cl  0.9141  0.9141  0.0000  2 Sb 2.72
Sb  0.7500  0.2500  0.5000  4 Cl 2.72
Hg  0.2500  0.7500  0.5000  4 Sb 3.41, 4 Cl 3.47, 2 Hg 3.73

Results
* ΔE_f (raw): -0.38 eV per atom
* magnetization: 0.0 μB/f.u.
* SG: Immm, No. 71
* calculated volume: 32.1 A^3/atom
* total DFT energy (no corrections): -2.405 eV per atom